# 1
A relaxed structure of SrTl2Cu. Source: the Alexandria database, functional PBE.

SG: No. 71
electronic total energy: -2.71 eV/atom
V: 27.73 Å³/atom
ΔE_f: -77.8 meV per atom

Cell lengths 6.0197, 6.0197, 6.0197 Å; angles 141.82, 123.12, 70.58 degrees
Closest atoms and distances in Å follow each position.
Atoms (fractional coordinates):
Sr: 0.2500 0.7500 0.5000  4 Cu 3.48, 8 Tl 3.50
Tl: 0.9550 0.9550 0.0000  2 Cu 2.82
Tl: 0.5450 0.5450 0.0000  2 Cu 2.82
Cu: 0.7500 0.2500 0.5000  4 Tl 2.82

# 2
A relaxed structure of Nd3InHg12. Source: the Alexandria database, functional PBE.

SG: No. 123
electronic total energy: -1.57 eV/atom
V: 25.82 Å³/atom
ΔE_f: -275.7 meV per atom

Cell lengths 4.7422, 4.7422, 18.3678 Å; angles 90.00, 90.00, 90.00 degrees
Closest atoms and distances in Å follow each position.
Atoms (fractional coordinates):
Hg: 0.0000 0.5000 0.8787  2 Nd 3.23, 8 Hg 3.25-3.38, 2 In 3.25
Hg: 0.5000 0.0000 0.3739  8 Hg 3.26-3.35, 4 Nd 3.32-3.41
Hg: 0.0000 0.5000 0.3739  8 Hg 3.26-3.35, 4 Nd 3.32-3.41
Hg: 0.5000 0.0000 0.1213  2 Nd 3.23, 2 In 3.25, 8 Hg 3.25-3.38
Hg: 0.5000 0.5000 0.7479  8 Hg 3.26-3.38, 4 Nd 3.36
Hg: 0.5000 0.5000 0.5000  8 Hg 3.32, 4 Nd 3.35
Hg: 0.5000 0.0000 0.6261  8 Hg 3.26-3.35, 4 Nd 3.32-3.41
Hg: 0.5000 0.5000 0.2521  8 Hg 3.26-3.38, 4 Nd 3.36
Hg: 0.0000 0.5000 0.6261  8 Hg 3.26-3.35, 4 Nd 3.32-3.41
Hg: 0.0000 0.5000 0.1213  2 Nd 3.23, 8 Hg 3.25-3.38, 2 In 3.25
Hg: 0.5000 0.5000 0.0000  8 Hg 3.25, 4 In 3.35
Hg: 0.5000 0.0000 0.8787  2 Nd 3.23, 2 In 3.25, 8 Hg 3.25-3.38
Nd: 0.0000 0.0000 0.2406  12 Hg 3.23-3.41
Nd: 0.0000 0.0000 0.5000  12 Hg 3.32-3.35
Nd: 0.0000 0.0000 0.7594  12 Hg 3.23-3.41
In: 0.0000 0.0000 0.0000  12 Hg 3.25-3.35

# 3
A relaxed structure of BaTl2Cd5. Source: the Alexandria database, functional PBE.

SG: No. 71
electronic total energy: -1.55 eV/atom
V: 28.42 Å³/atom
ΔE_f: -144.2 meV per atom

Cell lengths 4.7021, 7.5023, 7.5023 Å; angles 68.12, 71.74, 71.74 degrees
Closest atoms and distances in Å follow each position.
Atoms (fractional coordinates):
Cd: 0.6307 0.5514 0.1872  3 Tl 2.96-3.17, 4 Cd 3.01-3.18
Cd: 0.0000 0.5000 0.5000  2 Tl 2.97, 8 Cd 3.18
Cd: 0.6307 0.1872 0.5514  3 Tl 2.96-3.17, 4 Cd 3.01-3.18
Cd: 0.3693 0.8128 0.4486  3 Tl 2.96-3.17, 4 Cd 3.01-3.18
Cd: 0.3693 0.4486 0.8128  3 Tl 2.96-3.17, 4 Cd 3.01-3.18
Tl: 0.2584 0.2416 0.2416  7 Cd 2.96-3.17
Tl: 0.7416 0.7584 0.7584  7 Cd 2.96-3.17
Ba: 0.0000 0.0000 0.0000  4 Tl 3.64, 8 Cd 3.86

# 4
A relaxed structure of Nd3Er2Cd3. Source: the Alexandria database, functional PBE.

SG: No. 71
electronic total energy: -3.50 eV/atom
V: 29.15 Å³/atom
ΔE_f: -233.0 meV per atom

Cell lengths 3.7561, 5.5068, 11.7573 Å; angles 103.54, 99.19, 90.00 degrees
Closest atoms and distances in Å follow each position.
Atoms (fractional coordinates):
Er: 0.7350 0.2350 0.4700  2 Cd 3.17, 4 Er 3.40
Er: 0.2650 0.7650 0.5300  2 Cd 3.17, 4 Er 3.40
Nd: 0.6247 0.6247 0.2495  6 Cd 3.33-3.38, 4 Er 3.68-3.71
Nd: 0.3753 0.3753 0.7505  6 Cd 3.33-3.38, 4 Er 3.68-3.71
Nd: 0.5000 0.0000 0.0000  8 Cd 3.33
Cd: 0.0000 0.5000 0.0000  8 Nd 3.33-3.38
Cd: 0.1217 0.1217 0.2434  2 Er 3.17, 6 Nd 3.33
Cd: 0.8783 0.8783 0.7566  2 Er 3.17, 6 Nd 3.33